Record 1
A relaxed LaZrC3 crystal. Source: Alexandria via LeMat-Bulk, functional PBE-GGA.

a b c (Å): 4.2806 4.2806 4.2806
angles (deg): 90.00 90.00 90.00
With the nearest neighbours (Å) after each atom.
Positions (direct):
La 0.0000 0.0000 0.0000  6 C 2.14
C 0.0000 0.0000 0.5000  2 La 2.14
C 0.0000 0.5000 0.0000  2 La 2.14
C 0.5000 0.0000 0.0000  2 La 2.14
Zr 0.5000 0.5000 0.5000  12 C 3.03

Computed properties:
SG = Pm-3m, No. 221
density of states at the Fermi level = 3.622 states/eV per cell
M_tot = 0.0000 μB/atom
total DFT energy (no corrections) = -0.44932 Ry per atom


Record 2
A relaxed Ta4PPt crystal. Source: Alexandria via LeMat-Bulk, functional PBE-GGA.

a b c (Å): 5.3802 5.3802 5.3802
angles (deg): 60.00 60.00 60.00
With the nearest neighbours (Å) after each atom.
Positions (direct):
Ta 0.6247 0.6247 0.6247  6 Ta 2.68-2.70
Ta 0.6247 0.6247 0.1259  6 Ta 2.68-2.70
Ta 0.6247 0.1259 0.6247  6 Ta 2.68-2.70
Ta 0.1259 0.6247 0.6247  6 Ta 2.68-2.70
P 0.2500 0.2500 0.2500  12 Ta 3.15, 4 Pt 3.29
Pt 0.0000 0.0000 0.0000  12 Ta 3.16, 4 P 3.29

Computed properties:
SG = F-43m, No. 216
density of states at the Fermi level = 5.314 states/eV per cell
M_tot = 0.0000 μB/atom
total DFT energy (no corrections) = -0.68413 Ry per atom


Record 3
A relaxed SrCaSn6 crystal. Source: Alexandria via LeMat-Bulk, functional PBE-GGA.

a b c (Å): 4.8155 4.8155 9.6062
angles (deg): 90.00 90.00 90.00
With the nearest neighbours (Å) after each atom.
Positions (direct):
Sn 0.5000 0.5000 0.5000  8 Sn 3.36, 4 Ca 3.41
Sn 0.0000 0.5000 0.2559  2 Ca 3.36, 8 Sn 3.36-3.44, 2 Sr 3.44
Sn 0.5000 0.0000 0.7441  8 Sn 3.36-3.44, 2 Ca 3.36, 2 Sr 3.44
Sn 0.0000 0.5000 0.7441  8 Sn 3.36-3.44, 2 Ca 3.36, 2 Sr 3.44
Sn 0.5000 0.5000 0.0000  4 Sr 3.41, 8 Sn 3.44
Sn 0.5000 0.0000 0.2559  8 Sn 3.36-3.44, 2 Ca 3.36, 2 Sr 3.44
Sr 0.0000 0.0000 0.0000  12 Sn 3.41-3.44
Ca 0.0000 0.0000 0.5000  12 Sn 3.36-3.41

Computed properties:
SG = P4/mmm, No. 123
density of states at the Fermi level = 3.074 states/eV per cell
M_tot = 0.0000 μB/atom
total DFT energy (no corrections) = -0.28296 Ry per atom


Record 4
A relaxed La15Dy4Tl crystal. Source: Alexandria via LeMat-Bulk, functional PBE-GGA.

a b c (Å): 5.1701 5.1701 26.0493
angles (deg): 90.00 90.00 90.00
With the nearest neighbours (Å) after each atom.
Positions (direct):
La 0.5000 0.5000 0.6012  4 Dy 3.66, 8 La 3.66-3.69
La 0.5000 0.0000 0.0978  2 Tl 3.63, 8 La 3.63-3.69, 2 Dy 3.68
La 0.5000 0.5000 0.1990  4 Dy 3.66, 8 La 3.67-3.69
La 0.5000 0.0000 0.5000  8 La 3.66-3.69, 4 Dy 3.67
La 0.5000 0.5000 0.3988  4 Dy 3.66, 8 La 3.66-3.69
La 0.0000 0.5000 0.2991  8 La 3.66-3.67, 4 Dy 3.68
La 0.5000 0.0000 0.7009  8 La 3.66-3.67, 4 Dy 3.68
La 0.5000 0.5000 0.8010  4 Dy 3.66, 8 La 3.67-3.69
La 0.0000 0.5000 0.7009  8 La 3.66-3.67, 4 Dy 3.68
La 0.0000 0.5000 0.9022  2 Tl 3.63, 8 La 3.63-3.69, 2 Dy 3.68
La 0.5000 0.0000 0.9022  2 Tl 3.63, 8 La 3.63-3.69, 2 Dy 3.68
La 0.0000 0.5000 0.5000  8 La 3.66-3.69, 4 Dy 3.67
La 0.5000 0.5000 0.0000  8 La 3.63, 4 Tl 3.66
La 0.0000 0.5000 0.0978  2 Tl 3.63, 8 La 3.63-3.69, 2 Dy 3.68
La 0.5000 0.0000 0.2991  8 La 3.66-3.67, 4 Dy 3.68
Dy 0.0000 0.0000 0.1985  12 La 3.66-3.68
Dy 0.0000 0.0000 0.6001  12 La 3.66-3.68
Dy 0.0000 0.0000 0.3999  12 La 3.66-3.68
Dy 0.0000 0.0000 0.8015  12 La 3.66-3.68
Tl 0.0000 0.0000 0.0000  12 La 3.63-3.66

Computed properties:
SG = P4/mmm, No. 123
density of states at the Fermi level = 27.655 states/eV per cell
M_tot = 0.0000 μB/atom
total DFT energy (no corrections) = -0.35048 Ry per atom


Record 5
A relaxed Ac2ScGe2 crystal. Source: Alexandria via LeMat-Bulk, functional PBE-GGA.

a b c (Å): 4.5795 8.2110 8.7521
angles (deg): 90.00 105.17 90.00
With the nearest neighbours (Å) after each atom.
Positions (direct):
Ac 0.0440 0.2278 0.0880  5 Ge 3.14-3.39, 2 Sc 3.46
Ac 0.9560 0.7278 0.9120  5 Ge 3.14-3.39, 2 Sc 3.46
Ac 0.2078 0.8849 0.4156  5 Ge 3.15-3.42
Ac 0.7922 0.3849 0.5844  5 Ge 3.15-3.42
Ge 0.1697 0.5092 0.3395  2 Sc 2.71
Ge 0.8303 0.0092 0.6605  2 Sc 2.71
Ge 0.5587 0.9247 0.1174  2 Sc 2.83-2.90
Ge 0.4413 0.4247 0.8826  2 Sc 2.83-2.90
Sc 0.4067 0.0877 0.8133  4 Ge 2.71-2.90
Sc 0.5933 0.5877 0.1867  4 Ge 2.71-2.90

Computed properties:
SG = Cmc2_1, No. 36
density of states at the Fermi level = 8.717 states/eV per cell
M_tot = 0.0001 μB/atom
total DFT energy (no corrections) = -0.39667 Ry per atom


Record 6
A relaxed SrAl4PdPt2 crystal. Source: Alexandria via LeMat-Bulk, functional PBE-GGA.

a b c (Å): 4.2927 4.2927 9.8515
angles (deg): 77.42 77.42 60.00
With the nearest neighbours (Å) after each atom.
Positions (direct):
Al 0.8652 0.8652 0.4044  3 Pd 2.64, 4 Pt 2.65-2.75
Al 0.4098 0.4098 0.7707  1 Pd 2.58, 3 Pt 2.59
Al 0.1348 0.1348 0.5956  3 Pd 2.64, 4 Pt 2.65-2.75
Al 0.5902 0.5902 0.2293  1 Pd 2.58, 3 Pt 2.59
Pt 0.7690 0.7690 0.6929  7 Al 2.59-2.75
Pt 0.2310 0.2310 0.3071  7 Al 2.59-2.75
Sr 0.0000 0.0000 0.0000  6 Al 3.30
Pd 0.5000 0.5000 0.5000  8 Al 2.58-2.64

Computed properties:
SG = R-3m, No. 166
density of states at the Fermi level = 2.827 states/eV per cell
M_tot = 0.0000 μB/atom
total DFT energy (no corrections) = -0.37297 Ry per atom


Record 7
A relaxed TiCo2Sn crystal. Source: Alexandria via LeMat-Bulk, functional PBE-GGA.

a b c (Å): 3.9646 3.9646 8.7703
angles (deg): 76.94 76.94 90.00
With the nearest neighbours (Å) after each atom.
Positions (direct):
Ti 0.5000 0.5000 0.0000  4 Co 2.43
Ti 0.2500 0.7500 0.5000  4 Co 2.43
Co 0.8750 0.8225 0.7500  2 Ti 2.43, 2 Co 2.53, 2 Sn 2.60
Co 0.5725 0.1250 0.2500  2 Ti 2.43, 2 Co 2.53, 2 Sn 2.60
Co 0.1775 0.6250 0.2500  2 Ti 2.43, 2 Co 2.53, 2 Sn 2.60
Co 0.3750 0.4275 0.7500  2 Ti 2.43, 2 Co 2.53, 2 Sn 2.60
Sn 0.7500 0.2500 0.5000  4 Co 2.60, 4 Ti 2.80
Sn 0.0000 0.0000 0.0000  4 Co 2.60, 4 Ti 2.80

Computed properties:
SG = I-42d, No. 122
density of states at the Fermi level = 9.042 states/eV per cell
M_tot = 0.4209 μB/atom
total DFT energy (no corrections) = -0.45720 Ry per atom


Record 8
A relaxed BaPaHgS4 crystal. Source: Alexandria via LeMat-Bulk, functional PBE-GGA.

a b c (Å): 6.4831 9.2971 8.0673
angles (deg): 115.71 90.00 110.41
With the nearest neighbours (Å) after each atom.
Positions (direct):
Hg 0.5000 0.5000 0.5000  4 S 3.13, 2 Hg 3.24
Hg 0.0000 0.5000 0.5000  4 S 3.13, 2 Hg 3.24
Pa 0.5000 0.0000 0.5000  6 S 2.64-2.65
Pa 0.5000 0.0000 0.0000  6 S 2.64-2.65
S 0.2206 0.9584 0.7292  2 Pa 2.64
S 0.3302 0.6604 0.8739  1 Pa 2.65
S 0.6698 0.3396 0.1261  1 Pa 2.65
S 0.2623 0.0416 0.2708  2 Pa 2.64
S 0.7794 0.0416 0.2708  2 Pa 2.64
S 0.6698 0.3396 0.7135  1 Pa 2.65
S 0.3302 0.6604 0.2865  1 Pa 2.65
S 0.7377 0.9584 0.7292  2 Pa 2.64
Ba 0.8432 0.6863 0.0932  4 S 3.15-3.16
Ba 0.1568 0.3137 0.9068  4 S 3.15-3.16

Computed properties:
SG = Imma, No. 74
density of states at the Fermi level = 6.468 states/eV per cell
formation energy (no corrections) = -8.81 eV per formula unit
M_tot = 0.0000 μB/atom


Record 9
A relaxed Na6SI2Cl2 crystal. Source: Alexandria via LeMat-Bulk, functional PBE-GGA.

a b c (Å): 7.2861 7.2861 7.8026
angles (deg): 100.91 100.91 117.61
With the nearest neighbours (Å) after each atom.
Positions (direct):
Na 0.7705 0.7705 0.6931  1 S 2.68, 2 Cl 2.84
Na 0.3803 0.0453 0.6948  1 S 2.73, 1 Cl 2.80
Na 0.9547 0.6197 0.3052  1 S 2.73, 1 Cl 2.80
Na 0.2295 0.2295 0.3069  1 S 2.68, 2 Cl 2.84
Na 0.6197 0.9547 0.3052  1 S 2.73, 1 Cl 2.80
Na 0.0453 0.3803 0.6948  1 S 2.73, 1 Cl 2.80
Cl 0.3421 0.6579 0.5000  6 Na 2.80-3.07
Cl 0.6579 0.3421 0.5000  6 Na 2.80-3.07
I 0.8230 0.1770 0.0000  6 Na 3.22-3.33
I 0.1770 0.8230 0.0000  6 Na 3.22-3.33
S 0.0000 0.0000 0.5000  6 Na 2.68-2.73

Computed properties:
SG = C2/m, No. 12
density of states at the Fermi level = 0.000 states/eV per cell
formation energy (no corrections) = -14.89 eV per formula unit
M_tot = 0.0104 μB/atom


Record 10
A relaxed Dy2Si3Ni4Rh crystal. Source: Alexandria via LeMat-Bulk, functional PBE-GGA.

a b c (Å): 3.9167 3.9167 9.9283
angles (deg): 90.00 90.00 90.00
With the nearest neighbours (Å) after each atom.
Positions (direct):
Rh 0.5000 0.5000 0.5000  4 Ni 2.44
Dy 0.5000 0.0000 0.2479  8 Ni 2.96-3.15, 6 Si 3.03-3.18, 2 Rh 3.18
Dy 0.0000 0.5000 0.7521  8 Ni 2.96-3.15, 6 Si 3.03-3.18, 2 Rh 3.18
Ni 0.0000 0.0000 0.0000  4 Si 2.31
Ni 0.5000 0.0000 0.6469  3 Si 2.28-2.44, 2 Rh 2.44
Ni 0.5000 0.5000 0.0000  4 Si 2.31
Ni 0.0000 0.5000 0.3531  3 Si 2.28-2.44, 2 Rh 2.44
Si 0.5000 0.0000 0.8761  5 Ni 2.28-2.31
Si 0.0000 0.5000 0.1239  5 Ni 2.28-2.31
Si 0.0000 0.0000 0.5000  4 Ni 2.44

Computed properties:
SG = P-4m2, No. 115
density of states at the Fermi level = 9.737 states/eV per cell
formation energy (no corrections) = -7.30 eV per formula unit
M_tot = 0.0000 μB/atom


Number 3 is which compound?
SrCaSn6